Record 1
Material: KSiAsBr2
Method: DFT, GGA-PBE
State: optimized geometry

The space group is P4/mmm (No. 123) and the conventional cell measures 5.5110, 5.5110 and 4.9456 Å, with angles of 90.00, 90.00 and 90.00 degrees. The asymmetric unit holds K at (0.0000, 0.0000, 0.0000), Si at (0.5000, 0.5000, 0.5000), As at (0.5000, 0.5000, 0.0000) and Br at (0.0000, 0.5000, 0.5000).

The relative energy among the computed polymorphs comes out at 0.0 meV per atom. For the formation energy (no corrections), the calculation gives -0.3475 eV per atom. The value obtained for the electronic total energy is -3.2507 eV/atom.

***

Record 2
Material: KSnAsBr2
Method: DFT, GGA-PBE
State: optimized geometry

The space group is P4/mmm (No. 123) and the conventional cell measures 5.8925, 5.8925 and 5.2950 Å, with angles of 90.00, 90.00 and 90.00 degrees. The asymmetric unit holds K at (0.0000, 0.0000, 0.0000), Sn at (0.5000, 0.5000, 0.5000), As at (0.5000, 0.5000, 0.0000) and Br at (0.0000, 0.5000, 0.5000).

The relative energy among the computed polymorphs comes out at 0.0 meV per atom. For the formation energy (no corrections), the calculation gives -0.4968 eV per atom. The value obtained for the electronic total energy is -3.1160 eV/atom.

***

Record 3
Material: KSnAsBr2
Method: DFT, GGA-PBE
State: optimized geometry

The space group is P4/mmm (No. 123) and the conventional cell measures 5.7705, 5.7705 and 6.0514 Å, with angles of 90.00, 90.00 and 90.00 degrees. The asymmetric unit holds K at (0.0000, 0.0000, 0.0000), Sn at (0.5000, 0.5000, 0.5000), As at (0.0000, 0.0000, 0.5000) and Br at (0.0000, 0.5000, 0.0000).

The relative energy among the computed polymorphs comes out at 733.7 meV per atom. For the formation energy (no corrections), the calculation gives 0.2368 eV per atom. The value obtained for the electronic total energy is -2.3823 eV/atom.

***

Record 4
Material: KSrAs2Br
Method: DFT, GGA-PBE
State: optimized geometry

The space group is P4/mmm (No. 123) and the conventional cell measures 5.6568, 5.6568 and 5.4948 Å, with angles of 90.00, 90.00 and 90.00 degrees. The asymmetric unit holds K at (0.0000, 0.0000, 0.0000), Sr at (0.5000, 0.5000, 0.0000), As at (0.0000, 0.5000, 0.5000) and Br at (0.5000, 0.5000, 0.5000).

The relative energy among the computed polymorphs comes out at 228.7 meV per atom. For the formation energy (no corrections), the calculation gives -0.0290 eV per atom. The value obtained for the electronic total energy is -2.7792 eV/atom.

***

Record 5
Material: KSrAs2Br
Method: DFT, GGA-PBE
State: optimized geometry

The space group is P4/mmm (No. 123) and the conventional cell measures 5.5349, 5.5349 and 5.8148 Å, with angles of 90.00, 90.00 and 90.00 degrees. The asymmetric unit holds K at (0.0000, 0.0000, 0.0000), Sr at (0.5000, 0.5000, 0.5000), As at (0.0000, 0.5000, 0.0000) and Br at (0.0000, 0.0000, 0.5000).

The relative energy among the computed polymorphs comes out at 381.2 meV per atom. For the formation energy (no corrections), the calculation gives 0.1235 eV per atom. The value obtained for the electronic total energy is -2.6267 eV/atom.

***

Record 6
Material: KSrAs2Br
Method: DFT, GGA-PBE
State: optimized geometry

The space group is P4/mmm (No. 123) and the conventional cell measures 5.9996, 5.9996 and 6.0012 Å, with angles of 90.00, 90.00 and 90.00 degrees. The asymmetric unit holds K at (0.0000, 0.0000, 0.0000), Sr at (0.5000, 0.5000, 0.5000), As at (0.0000, 0.5000, 0.5000) and Br at (0.5000, 0.5000, 0.0000).

The relative energy among the computed polymorphs comes out at 0.0 meV per atom. For the formation energy (no corrections), the calculation gives -0.2576 eV per atom. The value obtained for the electronic total energy is -3.0079 eV/atom.

***

Record 7
Material: KTaAsBr2
Method: DFT, GGA-PBE
State: optimized geometry

The space group is P4/mmm (No. 123) and the conventional cell measures 5.6468, 5.6468 and 5.9216 Å, with angles of 90.00, 90.00 and 90.00 degrees. The asymmetric unit holds K at (0.0000, 0.0000, 0.0000), Ta at (0.5000, 0.5000, 0.5000), As at (0.0000, 0.0000, 0.5000) and Br at (0.0000, 0.5000, 0.0000).

The relative energy among the computed polymorphs comes out at 1778.7 meV per atom. For the formation energy (no corrections), the calculation gives 1.2739 eV per atom. The value obtained for the electronic total energy is -2.9152 eV/atom.

***

Record 8
Material: KTaAsBr2
Method: DFT, GGA-PBE
State: optimized geometry

The space group is P4/mmm (No. 123) and the conventional cell measures 5.3468, 5.3468 and 5.0126 Å, with angles of 90.00, 90.00 and 90.00 degrees. The asymmetric unit holds K at (0.0000, 0.0000, 0.0000), Ta at (0.5000, 0.5000, 0.5000), As at (0.5000, 0.5000, 0.0000) and Br at (0.0000, 0.5000, 0.5000).

The relative energy among the computed polymorphs comes out at 0.0 meV per atom. For the formation energy (no corrections), the calculation gives -0.5049 eV per atom. The value obtained for the electronic total energy is -4.6940 eV/atom.

***

| no. | DOS at the Fermi energy (states/eV/f.u.) | mass density (g/cm3) |
| --- | --- | --- |
| 1 | 2.39 | 3.34 |
| 2 | 3.87 | 3.55 |
| 3 | 2.73 | 3.23 |
| 4 | 3.34 | 3.37 |
| 5 | 5.05 | 3.32 |
| 6 | 3.32 | 2.74 |
| 7 | 5.56 | 4.00 |
| 8 | 1.55 | 5.27 |